[1]
# K3HgS3 (GGA-PBE, relaxed)
# formation energy from raw total energies = -0.6677 eV/atom
# total moment = 1.1 μB per formula unit
data_K3HgS3
_symmetry_space_group_name_H-M 'P 1'
_symmetry_Int_Tables_number 1
_symmetry_space_group_name_Hall 'P 1'
_cell_length_a 5.4136
_cell_length_b 7.7358
_cell_length_c 7.7358
_cell_angle_alpha 114.73
_cell_angle_beta 103.49
_cell_angle_gamma 103.49
loop_
_atom_site_label
_atom_site_type_symbol
_atom_site_fract_x
_atom_site_fract_y
_atom_site_fract_z
Hg1 Hg 0.3666 0.0000 0.0000
K1 K 0.0314 0.0000 0.5366
K2 K 0.0314 0.5366 0.0000
K3 K 0.4947 0.4634 0.4634
S1 S 0.4589 0.0000 0.3259
S2 S 0.1330 0.6741 0.6741
S3 S 0.4589 0.3259 0.0000

***

[2]
# TlRh3F (GGA-PBE, relaxed)
# formation energy from raw total energies = 1.5477 eV/atom
# total moment = 3.2 μB per formula unit
data_TlRh3F
_symmetry_space_group_name_H-M 'P 1'
_symmetry_Int_Tables_number 1
_symmetry_space_group_name_Hall 'P 1'
_cell_length_a 5.1085
_cell_length_b 5.1085
_cell_length_c 5.1085
_cell_angle_alpha 90.00
_cell_angle_beta 90.00
_cell_angle_gamma 90.00
loop_
_atom_site_label
_atom_site_type_symbol
_atom_site_fract_x
_atom_site_fract_y
_atom_site_fract_z
Rh1 Rh 0.0000 0.5000 0.0000
Rh2 Rh 0.0000 0.0000 0.5000
Rh3 Rh 0.5000 0.0000 0.0000
F1 F 0.5000 0.5000 0.5000
Tl1 Tl 0.0000 0.0000 0.0000

***

[3]
# NiBi (GGA-PBE, relaxed)
# energy relative to the elements = 301 meV/atom
# total moment = 0.0 μB per formula unit
data_NiBi
_symmetry_space_group_name_H-M 'P 1'
_symmetry_Int_Tables_number 1
_symmetry_space_group_name_Hall 'P 1'
_cell_length_a 7.7327
_cell_length_b 7.7327
_cell_length_c 3.3442
_cell_angle_alpha 90.00
_cell_angle_beta 90.00
_cell_angle_gamma 90.00
loop_
_atom_site_label
_atom_site_type_symbol
_atom_site_fract_x
_atom_site_fract_y
_atom_site_fract_z
Ni1 Ni 0.6138 0.3862 0.0000
Ni2 Ni 0.8862 0.8862 0.5000
Ni3 Ni 0.3862 0.6138 0.0000
Ni4 Ni 0.1138 0.1138 0.5000
Bi1 Bi 0.2092 0.7908 0.5000
Bi2 Bi 0.7908 0.2092 0.5000
Bi3 Bi 0.2908 0.2908 0.0000
Bi4 Bi 0.7092 0.7092 0.0000

***

[4]
# BaAc4Ir3 (GGA-PBE, relaxed)
# energy relative to the elements = -522 meV/atom
# total moment = 0.0 μB per formula unit
data_BaAc4Ir3
_symmetry_space_group_name_H-M 'P 1'
_symmetry_Int_Tables_number 1
_symmetry_space_group_name_Hall 'P 1'
_cell_length_a 7.6485
_cell_length_b 8.3812
_cell_length_c 10.9321
_cell_angle_alpha 109.50
_cell_angle_beta 90.00
_cell_angle_gamma 117.15
loop_
_atom_site_label
_atom_site_type_symbol
_atom_site_fract_x
_atom_site_fract_y
_atom_site_fract_z
Ir1 Ir 0.6907 0.3964 0.8814
Ir2 Ir 0.2864 0.5761 0.5791
Ir3 Ir 0.7057 0.3964 0.3814
Ir4 Ir 0.2897 0.5761 0.0791
Ir5 Ir 0.9229 0.8137 0.8066
Ir6 Ir 0.8909 0.8137 0.3066
Ba1 Ba 0.3245 0.9904 0.2359
Ba2 Ba 0.6660 0.9904 0.7359
Ac1 Ac 0.1203 0.5934 0.8352
Ac2 Ac 0.8754 0.4276 0.1368
Ac3 Ac 0.9337 0.2087 0.4328
Ac4 Ac 0.2750 0.2087 0.9328
Ac5 Ac 0.7201 0.7733 0.0421
Ac6 Ac 0.4731 0.5934 0.3352
Ac7 Ac 0.0532 0.7732 0.5421
Ac8 Ac 0.5522 0.4276 0.6368

***

no.,total energy (eV per cell)
1,-20.7
2,-18.6
3,-36.2
4,-98.2